Record 1
Material: AcCdPt2
Method: DFT, PBE
State: optimized geometry

Properties
Energy in eV per formula unit: -19.32
Energy of formation from the pure elements in eV per atom: -0.553
Total magnetic moment in μB/cell: 0.00

abc: 5.6843 5.4073 13.7717
angles: 90.00 90.00 90.00
Last column: nearest neighbours and their distance in Å.
Space group Pmma (No. 51)
Unique sites:
Ac 0.2500 0.0000 0.0803 (multiplicity 2)  4 Pt 3.25, 2 Cd 3.27, 2 Ac 3.60
Ac 0.2500 0.5000 0.4013 (multiplicity 2)  10 Pt 3.17-3.46
Cd 0.2500 0.0000 0.8028 (multiplicity 2)  2 Pt 2.71, 2 Cd 2.71
Cd 0.2500 0.5000 0.8205 (multiplicity 2)  2 Cd 2.71, 4 Pt 2.85-2.89
Pt 0.0000 0.0000 0.5000 (multiplicity 2)  6 Pt 2.71-2.84
Pt 0.0000 0.5000 0.0000 (multiplicity 2)  2 Pt 2.84, 2 Cd 2.85
Pt 0.2500 0.2562 0.6336 (multiplicity 4)  4 Pt 2.64-2.77, 2 Cd 2.71-2.89

---

Record 2
Material: SmHoMg2Hg4
Method: DFT, PBE
State: optimized geometry

Properties
Energy in eV per formula unit: -17.39
Energy of formation from the pure elements in eV per atom: -0.463
Total magnetic moment in μB/cell: 0.00

abc: 5.0902 5.0902 25.0495
angles: 90.00 90.00 120.00
Last column: nearest neighbours and their distance in Å.
Space group R-3m (No. 166, hexagonal axes)
Unique sites:
Sm 0.0000 0.0000 0.0000 (multiplicity 3)  8 Hg 3.14-3.17
Ho 0.0000 0.0000 0.5000 (multiplicity 3)  8 Hg 3.07-3.11
Mg 0.0000 0.0000 0.2497 (multiplicity 6)  8 Hg 3.08-3.20
Hg 0.0000 0.0000 0.1266 (multiplicity 6)  4 Mg 3.08-3.13, 3 Ho 3.11, 1 Sm 3.17
Hg 0.0000 0.0000 0.3773 (multiplicity 6)  1 Ho 3.07, 4 Mg 3.10-3.20, 3 Sm 3.14

---

Record 3
Material: Tb2Ta2C3
Method: DFT, PBE
State: optimized geometry

Properties
Energy in eV per formula unit: -63.92
Energy of formation from the pure elements in eV per atom: -0.469
Total magnetic moment in μB/cell: 0.00

abc: 11.8176 3.4052 5.8221
angles: 90.00 109.03 90.00
Last column: nearest neighbours and their distance in Å.
Space group C2/m (No. 12)
Unique sites:
Tb 0.1107 0.0000 0.3338 (multiplicity 4)  5 C 2.52-2.61
Ta 0.1489 0.5000 0.8334 (multiplicity 4)  4 C 2.15-2.23
C 0.0000 0.5000 0.5000 (multiplicity 2)  2 Ta 2.15
C 0.2461 0.0000 0.7708 (multiplicity 4)  3 Ta 2.15-2.23

---

Record 4
Material: PaCoN
Method: DFT, PBE
State: optimized geometry

Properties
Energy in eV per formula unit: -25.81
Uncorrected formation energy in kJ/mol of atoms: -28.49
Polymorph energy (0 for the lowest one) in meV/atom: 525
Total magnetic moment in μB/cell: 0.00

abc: 3.8844 3.8844 6.0880
angles: 90.00 90.00 90.00
Last column: nearest neighbours and their distance in Å.
Space group I4mm (No. 107)
Unique sites:
Pa 0.0000 0.0000 0.0000 (multiplicity 2)  1 N 2.09, 1 Co 2.20
Co 0.0000 0.0000 0.3611 (multiplicity 2)  1 N 1.80
N 0.0000 0.0000 0.6567 (multiplicity 2)  1 Co 1.80

---

Record 5
Material: Be2AlN
Method: DFT, PBE
State: optimized geometry

Properties
Energy in eV per formula unit: -20.52
Uncorrected formation energy in kJ/mol of atoms: -24.07
Total magnetic moment in μB/cell: 0.00

abc: 5.0603 5.0603 7.1354
angles: 90.00 90.00 90.00
Last column: nearest neighbours and their distance in Å.
Space group I-42d (No. 122)
Unique sites:
Be 0.0975 0.2500 0.1250 (multiplicity 8)  2 N 1.62
Al 0.0000 0.0000 0.5000 (multiplicity 4)  4 Be 2.56
N 0.0000 0.0000 0.0000 (multiplicity 4)  4 Be 1.62

---

Record 6
Material: CsNa2ZnAg
Method: DFT, PBE
State: optimized geometry

Properties
Energy in eV per formula unit: -7.25
Energy of formation from the pure elements in eV per atom: 0.074
Polymorph energy (0 for the lowest one) in meV/atom: 0
Total magnetic moment in μB/cell: 0.00

abc: 5.8721 5.8721 5.2562
angles: 90.00 90.00 90.00
Last column: nearest neighbours and their distance in Å.
Space group P4/mmm (No. 123)
Unique sites:
Cs 0.0000 0.0000 0.0000 (multiplicity 1)  8 Na 3.94, 4 Zn 4.15
Na 0.0000 0.5000 0.5000 (multiplicity 2)  2 Ag 2.94
Zn 0.5000 0.5000 0.0000 (multiplicity 1)  2 Ag 2.63
Ag 0.5000 0.5000 0.5000 (multiplicity 1)  2 Zn 2.63, 4 Na 2.94

---

Record 7
Material: TbScTl
Method: DFT, PBE
State: optimized geometry

Properties
Energy in eV per formula unit: -14.14
Energy of formation from the pure elements in eV per atom: -0.271
Polymorph energy (0 for the lowest one) in meV/atom: 0
Total magnetic moment in μB/cell: 0.00

abc: 5.2049 5.2049 6.6379
angles: 90.00 90.00 120.00
Last column: nearest neighbours and their distance in Å.
Space group P6_3/mmc (No. 194)
Unique sites:
Tb 0.0000 0.0000 0.0000 (multiplicity 2)  2 Tb 3.32, 6 Sc 3.43, 6 Tl 3.43
Sc 0.3333 0.6667 0.2500 (multiplicity 2)  5 Tl 3.01-3.32
Tl 0.3333 0.6667 0.7500 (multiplicity 2)  5 Sc 3.01-3.32

---

Record 8
Material: TlCdGe
Method: DFT, PBE
State: optimized geometry

Properties
Energy in eV per formula unit: -7.32
Energy of formation from the pure elements in eV per atom: 0.193
Polymorph energy (0 for the lowest one) in meV/atom: 62
Total magnetic moment in μB/cell: 0.00

abc: 3.2715 3.2715 7.9021
angles: 90.00 90.00 120.00
Last column: nearest neighbours and their distance in Å.
Space group P3m1 (No. 156)
Unique sites:
Tl 0.0000 0.0000 0.0000 (multiplicity 1)  6 Tl 3.27, 3 Ge 3.29, 3 Cd 3.40
Cd 0.6667 0.3333 0.3578 (multiplicity 1)  3 Ge 3.04, 6 Cd 3.27, 3 Tl 3.40
Ge 0.3333 0.6667 0.6596 (multiplicity 1)  3 Cd 3.04, 6 Ge 3.27, 3 Tl 3.29

---

Record 9
Material: Ca2AgSn2
Method: DFT, PBE
State: optimized geometry

Properties
Energy in eV per formula unit: -14.58
Energy of formation from the pure elements in eV per atom: 0.056
Polymorph energy (0 for the lowest one) in meV/atom: 622
Total magnetic moment in μB/cell: 0.00

abc: 5.0939 5.0939 12.8312
angles: 90.00 90.00 90.00
Last column: nearest neighbours and their distance in Å.
Space group I4/mmm (No. 139)
Unique sites:
Ca 0.0000 0.5000 0.2500 (multiplicity 4)  4 Sn 3.16
Ag 0.0000 0.0000 0.0000 (multiplicity 2)  8 Sn 3.84, 8 Ca 4.10
Sn 0.0000 0.0000 0.3959 (multiplicity 4)  1 Sn 2.67

---

Record 10
Material: Ta2CrHPt
Method: DFT, PBE
State: optimized geometry

Properties
Energy in eV per formula unit: -43.10
Polymorph energy (0 for the lowest one) in meV/atom: 144
Total magnetic moment in μB/cell: 0.00

abc: 4.2226 4.2226 3.7286
angles: 90.00 90.00 90.00
Last column: nearest neighbours and their distance in Å.
Space group P4/mmm (No. 123)
Unique sites:
Ta 0.0000 0.5000 0.0000 (multiplicity 2)  2 H 2.11
Cr 0.0000 0.0000 0.5000 (multiplicity 1)  8 Ta 2.82, 4 Pt 2.99
H 0.5000 0.5000 0.0000 (multiplicity 1)  2 Pt 1.86
Pt 0.5000 0.5000 0.5000 (multiplicity 1)  2 H 1.86

---

Record 11
Material: SrLi2F
Method: DFT, PBE
State: optimized geometry

Properties
Energy in eV per formula unit: -12.11
Uncorrected formation energy in kJ/mol of atoms: -113.96
Polymorph energy (0 for the lowest one) in meV/atom: 0
Total magnetic moment in μB/cell: 0.00

abc: 6.6347 6.6347 9.4031
angles: 90.00 90.00 90.00
Last column: nearest neighbours and their distance in Å.
Space group I4_1/amd (No. 141, origin choice 2)
Unique sites:
Sr 0.0000 0.2500 0.3750 (multiplicity 4)  12 Li 3.89-3.90, 4 F 4.07, 4 Sr 4.07
Li 0.0000 0.0000 0.0000 (multiplicity 8)  2 F 2.03
F 0.0000 0.2500 0.8750 (multiplicity 4)  4 Li 2.03

---

Record 12
Material: KZn2CBr
Method: DFT, PBE
State: optimized geometry

Properties
Energy in eV per formula unit: -14.22
Uncorrected formation energy in kJ/mol of atoms: 6.30
Total magnetic moment in μB/cell: 0.00

abc: 4.0280 4.0280 11.1030
angles: 90.00 90.00 90.00
Last column: nearest neighbours and their distance in Å.
Space group P4/mmm (No. 123)
Unique sites:
K 0.0000 0.0000 0.0000 (multiplicity 1)  4 Br 2.85
Zn 0.0000 0.5000 0.5000 (multiplicity 2)  2 C 2.01
C 0.5000 0.5000 0.5000 (multiplicity 1)  4 Zn 2.01
Br 0.5000 0.5000 0.0000 (multiplicity 1)  4 K 2.85

---

Record 13
Material: MgScAu4
Method: DFT, PBE
State: optimized geometry

Properties
Energy in eV per formula unit: -23.42
Energy of formation from the pure elements in eV per atom: -0.397
Polymorph energy (0 for the lowest one) in meV/atom: 233
Total magnetic moment in μB/cell: 0.00

abc: 4.4940 4.4962 6.4042
angles: 90.00 90.14 90.00
Last column: nearest neighbours and their distance in Å.
Space group P2/m (No. 10)
Unique sites:
Mg 0.0000 0.0000 0.0000 (multiplicity 1)  8 Au 2.73
Sc 0.5000 0.5000 0.5000 (multiplicity 1)  8 Au 2.79
Au 0.0005 0.5000 0.7586 (multiplicity 2)  2 Mg 2.73, 2 Sc 2.79
Au 0.4995 0.0000 0.7587 (multiplicity 2)  2 Mg 2.73, 2 Sc 2.79

---

Record 14
Material: YPb2
Method: DFT, PBE
State: optimized geometry

Properties
Energy in eV per formula unit: -14.58
Energy of formation from the pure elements in eV per atom: -0.232
Total magnetic moment in μB/cell: 0.00

abc: 11.7143 3.7351 8.6327
angles: 90.00 111.00 90.00
Last column: nearest neighbours and their distance in Å.
Space group C2/m (No. 12)
Unique sites:
Y 0.0044 0.0000 0.2723 (multiplicity 4)  9 Pb 3.37-3.46, 2 Y 3.74
Pb 0.1510 0.5000 0.0637 (multiplicity 4)  5 Pb 3.31-3.45, 4 Y 3.38-3.45
Pb 0.1881 0.5000 0.6069 (multiplicity 4)  4 Pb 3.30-3.36, 5 Y 3.37-3.46

---

Record 15
Material: Cs6KNa
Method: DFT, PBE
State: optimized geometry

Properties
Energy in eV per formula unit: -7.36
Energy of formation from the pure elements in eV per atom: 0.022
Total magnetic moment in μB/cell: 0.00

abc: 10.9624 10.9624 6.4558
angles: 90.00 90.00 90.00
Last column: nearest neighbours and their distance in Å.
Space group P4/mmm (No. 123)
Unique sites:
Cs 0.0000 0.5000 0.0000 (multiplicity 2)  8 Cs 5.05, 2 K 5.48, 2 Na 5.48
Cs 0.2368 0.2368 0.5000 (multiplicity 4)  2 Na 4.89, 6 Cs 5.05-5.19, 2 K 5.20
K 0.5000 0.5000 0.0000 (multiplicity 1)  12 Cs 5.20-5.48
Na 0.0000 0.0000 0.0000 (multiplicity 1)  8 Cs 4.89

---

Record 16
Material: La2BeZn2
Method: DFT, PBE
State: optimized geometry

Properties
Energy in eV per formula unit: -16.39
Energy of formation from the pure elements in eV per atom: -0.053
Total magnetic moment in μB/cell: 0.00

abc: 6.7613 6.7613 4.9149
angles: 90.00 90.00 90.00
Last column: nearest neighbours and their distance in Å.
Space group P4/mbm (No. 127)
Unique sites:
La 0.1677 0.3323 0.0000 (multiplicity 4)  6 Zn 3.06-3.23, 1 La 3.21
Be 0.0000 0.0000 0.5000 (multiplicity 2)  4 Zn 2.61
Zn 0.1414 0.6414 0.5000 (multiplicity 4)  2 Be 2.61, 1 Zn 2.70

---

Record 17
Material: Tb3ThIn
Method: DFT, PBE
State: optimized geometry

Properties
Energy in eV per formula unit: -24.71
Energy of formation from the pure elements in eV per atom: -0.132
Polymorph energy (0 for the lowest one) in meV/atom: 0
Total magnetic moment in μB/cell: 0.00

abc: 4.8846 25.2670 4.8499
angles: 90.00 90.00 90.00
Last column: nearest neighbours and their distance in Å.
Space group Cmcm (No. 63)
Unique sites:
Tb 0.0000 0.0512 0.2500 (multiplicity 4)  8 Tb 3.44-3.60, 2 Th 3.49, 2 In 3.53
Tb 0.0000 0.2504 0.2500 (multiplicity 4)  4 Tb 3.44, 4 In 3.46-3.48, 4 Th 3.50
Tb 0.0000 0.4464 0.2500 (multiplicity 4)  8 Tb 3.44-3.64, 2 Th 3.45, 2 In 3.47
Th 0.0000 0.1503 0.7500 (multiplicity 4)  4 In 3.44, 8 Tb 3.45-3.50
In 0.0000 0.3479 0.7500 (multiplicity 4)  4 Th 3.44, 8 Tb 3.46-3.53

---

Record 18
Material: Mg5TiIr6
Method: DFT, PBE
State: optimized geometry

Properties
Energy in eV per formula unit: -74.64
Energy of formation from the pure elements in eV per atom: -0.467
Total magnetic moment in μB/cell: 0.00

abc: 4.3776 6.2956 13.1296
angles: 90.00 90.00 90.00
Last column: nearest neighbours and their distance in Å.
Space group Immm (No. 71)
Unique sites:
Mg 0.0000 0.0000 0.0000 (multiplicity 2)  8 Ir 2.67-2.72
Mg 0.0000 0.0000 0.3296 (multiplicity 4)  8 Ir 2.68-2.71
Mg 0.0000 0.5000 0.3334 (multiplicity 4)  8 Ir 2.71-2.72
Ti 0.0000 0.5000 0.0000 (multiplicity 2)  8 Ir 2.64-2.67
Ir 0.0000 0.2423 0.5000 (multiplicity 4)  2 Ti 2.67, 6 Mg 2.71-2.72
Ir 0.0000 0.2542 0.1628 (multiplicity 8)  1 Ti 2.64, 7 Mg 2.67-2.72

---

Record 19
Material: Rb2IrBr6N
Method: DFT, PBE
State: optimized geometry

Properties
Energy in eV per formula unit: -32.52
Uncorrected formation energy in kJ/mol of atoms: -32.40
Total magnetic moment in μB/cell: 5.50

abc: 8.1757 8.1757 9.4730
angles: 90.00 90.00 90.00
Last column: nearest neighbours and their distance in Å.
Space group I4/mmm (No. 139)
Unique sites:
Rb 0.0000 0.5000 0.2500 (multiplicity 4)  12 Br 3.76-4.09
Ir 0.0000 0.0000 0.0000 (multiplicity 2)  6 Br 2.50-2.60
Br 0.0000 0.0000 0.2745 (multiplicity 4)  1 N 2.14
Br 0.2162 0.2162 0.0000 (multiplicity 8)  1 Ir 2.50
N 0.0000 0.0000 0.5000 (multiplicity 2)  2 Br 2.14

---

Record 20
Material: NdHoZn2
Method: DFT, PBE
State: optimized geometry

Properties
Energy in eV per formula unit: -13.18
Energy of formation from the pure elements in eV per atom: -0.322
Total magnetic moment in μB/cell: 0.00

abc: 3.5964 3.5964 7.3225
angles: 90.00 90.00 90.00
Last column: nearest neighbours and their distance in Å.
Space group P4/mmm (No. 123)
Unique sites:
Nd 0.0000 0.0000 0.0000 (multiplicity 1)  8 Zn 3.22, 4 Nd 3.60
Ho 0.0000 0.0000 0.5000 (multiplicity 1)  8 Zn 3.05
Zn 0.5000 0.5000 0.2703 (multiplicity 2)  4 Ho 3.05, 4 Nd 3.22, 1 Zn 3.36